! NaLi3Hg, PBEsol geometry, DFT meta-GGA SCAN; values from VASP
&SYSTEM
  ibrav = 0, nat = 5, ntyp = 3
/
ATOMIC_SPECIES
Li 6.94 Li.upf
Na 22.99 Na.upf
Hg 200.59 Hg.upf
CELL_PARAMETERS angstrom
5.1038 0.0000 0.0000
0.0000 5.1038 0.0000
0.0000 0.0000 5.1038
ATOMIC_POSITIONS crystal
Li 0.0000 0.0000 0.5000
Li 0.5000 0.0000 0.0000
Na 0.5000 0.5000 0.5000
Hg 0.0000 0.0000 0.0000
Li 0.0000 0.5000 0.0000
! Fermi-level density of states in states/eV/atom: 0.381
! Energy of formation in meV/atom: -138
! Calculated density in g/cm³: 3.05
! DFT total energy in eV per atom: -16.05
! Magnetization in Bohr magnetons per cell: 0.00